No. 1
# Zr3ReP

A relaxed Zr3ReP crystal (GGA-PBE, the Alexandria database).

Calculated values
Space-group type: Pm-3m
Uncorrected energy (eV/cell): -40.2
Fermi-level density of states (states/eV per cell): 8.94
Energy relative to the elements (eV/f.u.): 3.278

Geometry as extended XYZ:
```
5
Lattice="5.037 0.000 0.000 0.000 5.037 0.000 0.000 0.000 5.037" Properties=species:S:1:pos:R:3 pbc="T T T"
Re 0.000 0.000 0.000
Zr 0.000 2.518 0.000
Zr 0.000 0.000 2.518
Zr 2.518 0.000 0.000
P 2.518 2.518 2.518
```

No. 2
# YZrIn2

A relaxed YZrIn2 crystal (GGA-PBE, the Alexandria database).

Calculated values
Space-group type: I4/mmm
Uncorrected energy (eV/cell): -21.9
Fermi-level density of states (states/eV per cell): 3.99
Energy relative to the elements (eV/f.u.): -1.384

Geometry as extended XYZ:
```
4
Lattice="5.505 -0.014 -0.009 1.522 5.290 0.009 -3.508 -2.645 3.316" Properties=species:S:1:pos:R:3 pbc="T T T"
Y 2.755 -0.010 1.654
Zr 0.764 2.642 1.663
In 0.000 0.000 0.000
In 3.513 2.638 0.000
```

No. 3
# Pr3ScCd

A relaxed Pr3ScCd crystal (GGA-PBE, the Alexandria database).

Calculated values
Space-group type: P2_1/c
Uncorrected energy (eV/cell): -87.0
Fermi-level density of states (states/eV per cell): 25.26
Energy relative to the elements (eV/f.u.): -0.168
Energy relative to the lowest polymorph listed for this composition (kJ per mole of atoms): 0.00

Geometry as extended XYZ:
```
20
Lattice="6.301 0.000 0.000 0.000 10.368 0.582 0.000 -3.424 9.377" Properties=species:S:1:pos:R:3 pbc="T T T"
Pr 0.217 5.762 6.548
Pr 6.084 1.182 3.410
Pr 3.367 4.653 8.389
Pr 2.933 2.290 1.569
Pr 3.502 6.790 5.133
Pr 2.798 0.153 4.826
Pr 0.352 7.049 0.428
Pr 5.949 -0.106 9.530
Pr 0.855 4.791 3.193
Pr 5.446 2.152 6.766
Pr 4.005 9.048 2.368
Pr 2.295 -2.104 7.590
Sc 5.646 -1.164 6.060
Sc 0.654 8.108 3.899
Sc 2.496 1.212 8.296
Sc 3.805 5.731 1.662
Cd 2.068 3.124 5.839
Cd 4.232 3.820 4.120
Cd 5.219 -3.076 8.517
Cd 1.082 10.019 1.441
```